1.
The following is a PBE-GGA calculation of an optimized crystal structure of TbTe2, from the Alexandria database.

Output
As for the raw formation energy: -1.173 eV/atom. Its total energy is -4.811 eV per atom. The space group is P4/nmm (129).

a = 4.4463 Å, b = 4.4463 Å, c = 8.9361 Å
α = 90.00°, β = 90.00°, γ = 90.00°
Fractional coordinates of all 6 atoms:
Te 0.7500 0.7500 0.3718
Te 0.2500 0.2500 0.6282
Tb 0.7500 0.7500 0.7291
Te 0.2500 0.7500 0.0000
Tb 0.2500 0.2500 0.2709
Te 0.7500 0.2500 0.0000

***

2.
The following is a PBE-GGA calculation of an optimized crystal structure of Cr2CuSi, from the Alexandria database.

Output
As for the raw formation energy: 0.495 eV/atom. Its total energy is -6.697 eV per atom. The space group is I-42d (122).

a = 6.5411 Å, b = 6.5411 Å, c = 5.2176 Å
α = 51.18°, β = 51.18°, γ = 90.00°
Fractional coordinates of all 8 atoms:
Cu 0.0000 0.0000 0.0000
Cr 0.1382 0.6250 0.2500
Cr 0.3750 0.3882 0.7500
Si 0.2500 0.7500 0.5000
Cr 0.8750 0.8618 0.7500
Cr 0.6118 0.1250 0.2500
Si 0.5000 0.5000 0.0000
Cu 0.7500 0.2500 0.5000

***

3.
The following is a PBE-GGA calculation of an optimized crystal structure of Y2ZrTcAu, from the Alexandria database.

Output
For the formation energy, the calculation gives 788 meV/atom. Its total energy is -6.236 eV per atom. The space group is P4/mmm (123).

a = 5.3309 Å, b = 5.0059 Å, c = 5.3309 Å
α = 90.00°, β = 90.00°, γ = 90.00°
Fractional coordinates of all 5 atoms:
Y 0.0000 0.0000 0.5000
Y 0.5000 0.0000 0.0000
Zr 0.5000 0.5000 0.5000
Au 0.0000 0.0000 0.0000
Tc 0.0000 0.5000 0.0000

***

4.
The following is a PBE-GGA calculation of an optimized crystal structure of KPb5, from the Alexandria database.

Output
For the formation energy, the calculation gives -20 meV/atom. The value obtained for the energy relative to the lowest polymorph listed for this composition is 24 meV per atom. Its total energy is -3.293 eV per atom. The space group is F-43m (216).

a = 6.6270 Å, b = 6.6270 Å, c = 6.6270 Å
α = 60.00°, β = 60.00°, γ = 60.00°
Fractional coordinates of all 6 atoms:
Pb 0.8760 0.3747 0.3747
Pb 0.3747 0.8760 0.3747
Pb 0.3747 0.3747 0.8760
Pb 0.7500 0.7500 0.7500
K 0.0000 0.0000 0.0000
Pb 0.3747 0.3747 0.3747

***

5.
The following is a PBE-GGA calculation of an optimized crystal structure of LaIrRh2, from the Alexandria database.

Output
For the formation energy, the calculation gives -66 meV/atom. The value obtained for the energy relative to the lowest polymorph listed for this composition is 433 meV per atom. Its total energy is -7.189 eV per atom. The space group is P2/m (10).

a = 4.6560 Å, b = 2.9933 Å, c = 5.3980 Å
α = 77.37°, β = 90.00°, γ = 90.00°
Fractional coordinates of all 4 atoms:
La 0.5000 0.0000 0.5000
Ir 0.5000 0.5000 0.0000
Rh 0.0000 0.6606 0.2090
Rh 0.0000 0.3394 0.7910

***

6.
The following is a PBE-GGA calculation of an optimized crystal structure of Ba2DySb3Rh4, from the Alexandria database.

Output
As for the raw formation energy: -0.757 eV/atom. Its total energy is -5.779 eV per atom. The space group is P-4m2 (115).

a = 4.5941 Å, b = 4.5941 Å, c = 11.3535 Å
α = 90.00°, β = 90.00°, γ = 90.00°
Fractional coordinates of all 10 atoms:
Rh 0.5000 0.0000 0.6386
Rh 0.5000 0.5000 0.0000
Rh 0.0000 0.5000 0.3614
Ba 0.5000 0.0000 0.2403
Ba 0.0000 0.5000 0.7597
Rh 0.0000 0.0000 0.0000
Sb 0.5000 0.0000 0.8771
Dy 0.5000 0.5000 0.5000
Sb 0.0000 0.5000 0.1229
Sb 0.0000 0.0000 0.5000

***

7.
The following is a PBE-GGA calculation of an optimized crystal structure of Mg8AgPt2, from the Alexandria database.

Output
For the formation energy, the calculation gives -437 meV/atom. The value obtained for the energy relative to the lowest polymorph listed for this composition is 0 meV per atom. Its total energy is -2.955 eV per atom. The space group is P1 (1).

a = 4.6053 Å, b = 6.5483 Å, c = 8.1224 Å
α = 113.79°, β = 106.03°, γ = 90.00°
Fractional coordinates of all 11 atoms:
Mg 0.9685 0.0273 0.5774
Ag 0.1363 0.9564 0.9087
Mg 0.3422 0.8592 0.3221
Mg 0.9311 0.4470 0.4970
Mg 0.1363 0.5307 0.9095
Mg 0.5287 0.7339 0.6915
Mg 0.3036 0.3583 0.2402
Pt 0.4738 0.2885 0.5867
Pt 0.7990 0.6109 0.2317
Mg 0.7444 0.9506 0.1261
Mg 0.6361 0.2372 0.9091

***

8.
The following is a PBE-GGA calculation of an optimized crystal structure of Te2AuCl, from the Alexandria database.

Output
As for the raw formation energy: 0.414 eV/atom. Its total energy is -2.438 eV per atom. The space group is P4/mmm (123).

a = 4.8544 Å, b = 4.5096 Å, c = 4.5096 Å
α = 90.00°, β = 90.00°, γ = 90.00°
Fractional coordinates of all 4 atoms:
Te 0.0000 0.5000 0.5000
Te 0.0000 0.0000 0.0000
Cl 0.5000 0.0000 0.5000
Au 0.5000 0.5000 0.0000

***

9.
The following is a PBE-GGA calculation of an optimized crystal structure of Mo4RhPb, from the Alexandria database.

Output
For the formation energy, the calculation gives 505 meV/atom. Its total energy is -8.559 eV per atom. The space group is F-43m (216).

a = 5.2900 Å, b = 5.2900 Å, c = 5.2900 Å
α = 60.00°, β = 60.00°, γ = 60.00°
Fractional coordinates of all 6 atoms:
Mo 0.8753 0.3749 0.3749
Rh 0.0000 0.0000 0.0000
Mo 0.3749 0.8753 0.3749
Pb 0.7500 0.7500 0.7500
Mo 0.3749 0.3749 0.8753
Mo 0.3749 0.3749 0.3749

***

10.
The following is a PBE-GGA calculation of an optimized crystal structure of Np2GaSn, from the Alexandria database.

Output
For the formation energy, the calculation gives 5 meV/atom. Its total energy is -8.223 eV per atom. The space group is P4/mmm (123).

a = 3.1315 Å, b = 3.1315 Å, c = 9.3302 Å
α = 90.00°, β = 90.00°, γ = 90.00°
Fractional coordinates of all 4 atoms:
Np 0.0000 0.0000 0.7669
Sn 0.5000 0.5000 0.5000
Np 0.0000 0.0000 0.2331
Ga 0.5000 0.5000 0.0000

***

11.
The following is a PBE-GGA calculation of an optimized crystal structure of ReTc, from the Alexandria database.

Output
For the formation energy, the calculation gives 276 meV/atom. The value obtained for the energy relative to the lowest polymorph listed for this composition is 282 meV per atom. Its total energy is -11.131 eV per atom. The space group is Cmmm (65).

a = 2.6961 Å, b = 2.6961 Å, c = 4.3422 Å
α = 90.00°, β = 90.00°, γ = 108.93°
Fractional coordinates of all 2 atoms:
Re 0.0000 0.0000 0.0000
Tc 0.5000 0.5000 0.5000

***

12.
The following is a PBE-GGA calculation of an optimized crystal structure of Sr3MnSb, from the Alexandria database.

Output
As for the raw formation energy: 0.133 eV/atom. The value obtained for the energy relative to the lowest polymorph listed for this composition is 0 meV per atom. Its total energy is -3.535 eV per atom. The space group is Pm-3m (221).

a = 6.2781 Å, b = 6.2781 Å, c = 6.2781 Å
α = 90.00°, β = 90.00°, γ = 90.00°
Fractional coordinates of all 5 atoms:
Mn 0.5000 0.5000 0.5000
Sr 0.5000 0.0000 0.0000
Sr 0.0000 0.5000 0.0000
Sb 0.0000 0.0000 0.0000
Sr 0.0000 0.0000 0.5000

***

Question: Look up the total energy of the first one.
Answer: -4.811 eV per atom

***

Question: Look up the total energy of the tenth one.
Answer: -8.223 eV per atom

***

Copy entry 7 word for word.
The following is a PBE-GGA calculation of an optimized crystal structure of Mg8AgPt2, from the Alexandria database.

Output
For the formation energy, the calculation gives -437 meV/atom. The value obtained for the energy relative to the lowest polymorph listed for this composition is 0 meV per atom. Its total energy is -2.955 eV per atom. The space group is P1 (1).

a = 4.6053 Å, b = 6.5483 Å, c = 8.1224 Å
α = 113.79°, β = 106.03°, γ = 90.00°
Fractional coordinates of all 11 atoms:
Mg 0.9685 0.0273 0.5774
Ag 0.1363 0.9564 0.9087
Mg 0.3422 0.8592 0.3221
Mg 0.9311 0.4470 0.4970
Mg 0.1363 0.5307 0.9095
Mg 0.5287 0.7339 0.6915
Mg 0.3036 0.3583 0.2402
Pt 0.4738 0.2885 0.5867
Pt 0.7990 0.6109 0.2317
Mg 0.7444 0.9506 0.1261
Mg 0.6361 0.2372 0.9091